An optimized crystal structure of Y13Al2. Source: Alexandria via LeMat-Bulk, functional GGA-PBE.

Cell: 6.6824 8.5105 9.1317 Å, 63.60 89.05 79.96°
Last column: nearest neighbours and their distance in Å.
Space group P-1 (No. 2)
Symmetry-distinct sites (fractional):
Y 0.0000 0.0000 0.0000 [1 per cell]  2 Al 3.08, 4 Y 3.34-3.40
Y 0.0344 0.5003 0.7017 [2 per cell]  2 Al 3.17, 3 Y 3.36-3.53
Y 0.2312 0.0111 0.5723 [2 per cell]  2 Al 3.12-3.40, 3 Y 3.42-3.48
Y 0.2514 0.2047 0.1555 [2 per cell]  9 Y 3.34-3.62, 1 Al 3.42
Y 0.2782 0.6487 0.9595 [2 per cell]  11 Y 3.40-3.72
Y 0.4467 0.1717 0.8157 [2 per cell]  1 Al 3.04, 3 Y 3.31-3.38
Y 0.4731 0.3983 0.3809 [2 per cell]  1 Al 3.08, 3 Y 3.36-3.42
Al 0.1624 0.7786 0.3614 [2 per cell]  7 Y 3.04-3.40



An optimized crystal structure of YAl6. Source: Alexandria via LeMat-Bulk, functional GGA-PBE.

Cell: 7.1232 7.1232 7.1232 Å, 90.00 90.00 90.00°
Last column: nearest neighbours and their distance in Å.
Space group Im-3m (No. 229)
Symmetry-distinct sites (fractional):
Y 0.0000 0.0000 0.0000 [2 per cell]  24 Al 3.98
Al 0.0000 0.2500 0.5000 [12 per cell]  4 Al 2.52



An optimized crystal structure of Y3Al. Source: Alexandria via LeMat-Bulk, functional GGA-PBE.

Cell: 7.6016 7.6016 7.6016 Å, 90.00 90.00 90.00°
Last column: nearest neighbours and their distance in Å.
Space group Fm-3m (No. 225)
Symmetry-distinct sites (fractional):
Y 0.0000 0.0000 0.0000 [4 per cell]  8 Y 3.29
Y 0.2500 0.2500 0.2500 [8 per cell]  4 Al 3.29, 4 Y 3.29
Al 0.0000 0.0000 0.5000 [4 per cell]  8 Y 3.29



no.,total DFT energy (no corrections) (eV/atom),energy relative to the elements (eV/atom),total magnetic moment (Bohr magnetons per cell)
1,-6.1396,-0.038,0.000
2,-3.6220,0.509,0.000
3,-5.8282,-0.045,2.486